## Ti12Ag3N5 (GGA-PBE)

Data for a relaxed structure of Ti12Ag3N5.

Its raw total energy is -7.888 eV per atom. The calculation puts the density of states at the Fermi level at 15.01 states/eV/f.u. The energy relative to the elements, uncorrected comes out at -0.64 eV per atom.

The structure belongs to space group Ia-3d (No. 230); the cell edges are 13.496, 13.496 and 13.496 Å and the angles 90.00°, 90.00° and 90.00°. The asymmetric unit holds Ti at (0.044, 0.048, 0.642), Ag at (0.000, 0.250, 0.125), N at (0.000, 0.000, 0.000) and N at (0.000, 0.250, 0.375).

---

## Ti2VAgN (GGA-PBE)

Data for a relaxed structure of Ti2VAgN.

Its raw total energy is -7.869 eV per atom. The calculation puts the density of states at the Fermi level at 4.64 states/eV/f.u. The energy relative to the elements, uncorrected comes out at -0.65 eV per atom.

The structure belongs to space group P4/mmm (No. 123); the cell edges are 4.195, 4.195 and 3.911 Å and the angles 90.00°, 90.00° and 90.00°. The asymmetric unit holds Ti at (0.000, 0.500, 0.000), V at (0.000, 0.000, 0.500), Ag at (0.500, 0.500, 0.500) and N at (0.000, 0.000, 0.000).

---

## YTiAg2N (GGA-PBE)

Data for a relaxed structure of YTiAg2N.

Its raw total energy is -5.652 eV per atom. The calculation puts the density of states at the Fermi level at 4.17 states/eV/f.u. The energy relative to the elements, uncorrected comes out at 0.03 eV per atom.

The structure belongs to space group P4/mmm (No. 123); the cell edges are 4.812, 4.812 and 3.989 Å and the angles 90.00°, 90.00° and 90.00°. The asymmetric unit holds Y at (0.000, 0.000, 0.000), Ti at (0.500, 0.500, 0.000), Ag at (0.000, 0.500, 0.500) and N at (0.500, 0.500, 0.500).

---

## Zr2TiAgN (GGA-PBE)

Data for a relaxed structure of Zr2TiAgN.

Its raw total energy is -7.986 eV per atom. The calculation puts the density of states at the Fermi level at 3.46 states/eV/f.u. The energy relative to the elements, uncorrected comes out at -0.75 eV per atom.

The structure belongs to space group P4/mmm (No. 123); the cell edges are 4.525, 4.525 and 4.125 Å and the angles 90.00°, 90.00° and 90.00°. The asymmetric unit holds Zr at (0.000, 0.500, 0.000), Ti at (0.000, 0.000, 0.500), Ag at (0.500, 0.500, 0.500) and N at (0.000, 0.000, 0.000).

---

## TlAg2N (GGA-PBE)

Data for a relaxed structure of TlAg2N.

Its raw total energy is -3.460 eV per atom. The calculation puts the density of states at the Fermi level at 0.00 states/eV/f.u. The energy relative to the elements, uncorrected comes out at 0.64 eV per atom.

The structure belongs to space group I-42d (No. 122); the cell edges are 5.755, 5.755 and 11.623 Å and the angles 90.00°, 90.00° and 90.00°. The asymmetric unit holds Tl at (0.000, 0.000, 0.000), Ag at (0.039, 0.250, 0.625) and N at (0.000, 0.000, 0.500).

---

## TlAgN2 (GGA-PBE)

Data for a relaxed structure of TlAgN2.

Its raw total energy is -4.034 eV per atom. The calculation puts the density of states at the Fermi level at 3.33 states/eV/f.u. The energy relative to the elements, uncorrected comes out at 1.43 eV per atom.

The structure belongs to space group R-3m (No. 166, hexagonal axes); the cell edges are 3.4548, 3.4548 and 19.2457 Å and the angles 90.00°, 90.00° and 120.00°. The asymmetric unit holds Tl at (0.0000, 0.0000, 0.0000), Ag at (0.0000, 0.0000, 0.5000) and N at (0.0000, 0.0000, 0.3945).

---

## TlAgN2 (GGA-PBE)

Data for a relaxed structure of TlAgN2.

Its raw total energy is -5.220 eV per atom. The calculation puts the density of states at the Fermi level at 0.69 states/eV/f.u. The energy relative to the elements, uncorrected comes out at 0.25 eV per atom.

The structure belongs to space group P1 (No. 1); the cell edges are 3.102, 4.969 and 8.374 Å and the angles 99.23°, 90.23° and 90.90°. The asymmetric unit holds Tl at (0.000, 0.000, 0.000), Ag at (0.500, 0.500, 0.000), N at (0.968, 0.449, 0.467) and N at (0.973, 0.656, 0.541).

---

## TlAgN3 (GGA-PBE)

Data for a relaxed structure of TlAgN3.

Its raw total energy is -3.534 eV per atom. The calculation puts the density of states at the Fermi level at 1.84 states/eV/f.u. The energy relative to the elements, uncorrected comes out at 2.50 eV per atom.

The structure belongs to space group Pm-3m (No. 221); the cell edges are 4.362, 4.362 and 4.362 Å and the angles 90.00°, 90.00° and 90.00°. The asymmetric unit holds Tl at (0.000, 0.000, 0.000), Ag at (0.500, 0.500, 0.500) and N at (0.000, 0.000, 0.500).

---

## TlAgN2 (GGA-PBE)

Data for a relaxed structure of TlAgN2.

Its raw total energy is -3.695 eV per atom. The calculation puts the density of states at the Fermi level at 1.10 states/eV/f.u. The energy relative to the elements, uncorrected comes out at 1.77 eV per atom.

The structure belongs to space group Fm-3m (No. 225); the cell edges are 6.030, 6.030 and 6.030 Å and the angles 90.00°, 90.00° and 90.00°. The asymmetric unit holds Tl at (0.000, 0.000, 0.000), Ag at (0.000, 0.000, 0.500) and N at (0.250, 0.250, 0.250).

---

## Tl3AgN (GGA-PBE)

Data for a relaxed structure of Tl3AgN.

Its raw total energy is -2.946 eV per atom. The calculation puts the density of states at the Fermi level at 2.28 states/eV/f.u. The energy relative to the elements, uncorrected comes out at 0.71 eV per atom.

The structure belongs to space group Pm-3m (No. 221); the cell edges are 5.007, 5.007 and 5.007 Å and the angles 90.00°, 90.00° and 90.00°. The asymmetric unit holds Tl at (0.000, 0.000, 0.500), Ag at (0.500, 0.500, 0.500) and N at (0.000, 0.000, 0.000).

---

## TlAgN (GGA-PBE)

Data for a relaxed structure of TlAgN.

Its raw total energy is -3.648 eV per atom. The calculation puts the density of states at the Fermi level at 0.95 states/eV/f.u. The energy relative to the elements, uncorrected comes out at 0.87 eV per atom.

The structure belongs to space group P-1 (No. 2); the cell edges are 3.744, 4.231 and 7.956 Å and the angles 87.21°, 76.54° and 89.98°. The asymmetric unit holds Tl at (0.079, 0.265, 0.344), Ag at (0.307, 0.219, 0.888) and N at (0.336, 0.725, 0.827).

---

## TlAg3N (GGA-PBE)

Data for a relaxed structure of TlAg3N.

Its raw total energy is -3.294 eV per atom. The calculation puts the density of states at the Fermi level at 2.05 states/eV/f.u. The energy relative to the elements, uncorrected comes out at 0.55 eV per atom.

The structure belongs to space group Pm-3m (No. 221); the cell edges are 4.544, 4.544 and 4.544 Å and the angles 90.00°, 90.00° and 90.00°. The asymmetric unit holds Tl at (0.000, 0.000, 0.000), Ag at (0.000, 0.500, 0.500) and N at (0.500, 0.500, 0.500).

---

## TlAgN3 (GGA-PBE)

Data for a relaxed structure of TlAgN3.

Its raw total energy is -3.817 eV per atom. The calculation puts the density of states at the Fermi level at 3.69 states/eV/f.u. The energy relative to the elements, uncorrected comes out at 2.22 eV per atom.

The structure belongs to space group Pm-3m (No. 221); the cell edges are 4.228, 4.228 and 4.228 Å and the angles 90.00°, 90.00° and 90.00°. The asymmetric unit holds Tl at (0.000, 0.000, 0.000), Ag at (0.500, 0.500, 0.500) and N at (0.000, 0.500, 0.500).

---

## TlAgN2 (GGA-PBE)

Data for a relaxed structure of TlAgN2.

Its raw total energy is -4.089 eV per atom. The calculation puts the density of states at the Fermi level at 1.38 states/eV/f.u. The energy relative to the elements, uncorrected comes out at 1.38 eV per atom.

The structure belongs to space group I-42d (No. 122); the cell edges are 5.132, 5.132 and 10.289 Å and the angles 90.00°, 90.00° and 90.00°. The asymmetric unit holds Tl at (0.000, 0.000, 0.000), Ag at (0.000, 0.000, 0.500) and N at (0.226, 0.250, 0.625).

---

## TlAg3N (GGA-PBE)

Data for a relaxed structure of TlAg3N.

Its raw total energy is -2.183 eV per atom. The calculation puts the density of states at the Fermi level at 2.34 states/eV/f.u. The energy relative to the elements, uncorrected comes out at 1.67 eV per atom.

The structure belongs to space group Pm-3m (No. 221); the cell edges are 5.431, 5.431 and 5.431 Å and the angles 90.00°, 90.00° and 90.00°. The asymmetric unit holds Tl at (0.000, 0.000, 0.000), Ag at (0.000, 0.000, 0.500) and N at (0.500, 0.500, 0.500).

---

## TlAg2N (GGA-PBE)

Data for a relaxed structure of TlAg2N.

Its raw total energy is -2.998 eV per atom. The calculation puts the density of states at the Fermi level at 0.76 states/eV/f.u. The energy relative to the elements, uncorrected comes out at 1.10 eV per atom.

The structure belongs to space group Fm-3m (No. 225); the cell edges are 6.525, 6.525 and 6.525 Å and the angles 90.00°, 90.00° and 90.00°. The asymmetric unit holds Tl at (0.000, 0.000, 0.000), Ag at (0.250, 0.250, 0.250) and N at (0.000, 0.000, 0.500).

---

## TmAgN (GGA-PBE)

Data for a relaxed structure of TmAgN.

Its raw total energy is -5.934 eV per atom. The calculation puts the density of states at the Fermi level at 0.87 states/eV/f.u. The energy relative to the elements, uncorrected comes out at -0.72 eV per atom.

The structure belongs to space group P2_1/c (No. 14); the cell edges are 6.318, 5.887 and 5.857 Å and the angles 90.00°, 103.96° and 90.00°. The asymmetric unit holds Tm at (0.127, 0.038, 0.280), Ag at (0.402, 0.622, 0.300) and N at (0.063, 0.748, 0.017).

---

## Tm3AgN (GGA-PBE)

Data for a relaxed structure of Tm3AgN.

Its raw total energy is -5.708 eV per atom. The calculation puts the density of states at the Fermi level at 6.81 states/eV/f.u. The energy relative to the elements, uncorrected comes out at -0.79 eV per atom.

The structure belongs to space group Pm-3m (No. 221); the cell edges are 4.710, 4.710 and 4.710 Å and the angles 90.00°, 90.00° and 90.00°. The asymmetric unit holds Tm at (0.000, 0.000, 0.500), Ag at (0.500, 0.500, 0.500) and N at (0.000, 0.000, 0.000).

---

## Tm2AgN (GGA-PBE)

Data for a relaxed structure of Tm2AgN.

Its raw total energy is -5.933 eV per atom. The calculation puts the density of states at the Fermi level at 1.97 states/eV/f.u. The energy relative to the elements, uncorrected comes out at -0.90 eV per atom.

The structure belongs to space group R-3m (No. 166, hexagonal axes); the cell edges are 3.4193, 3.4193 and 22.6472 Å and the angles 90.00°, 90.00° and 120.00°. The asymmetric unit holds Tm at (0.0000, 0.0000, 0.2262), Ag at (0.0000, 0.0000, 0.0000) and N at (0.0000, 0.0000, 0.5000).

---

## VAgN2 (GGA-PBE)

Data for a relaxed structure of VAgN2.

Its raw total energy is -6.029 eV per atom. The calculation puts the density of states at the Fermi level at 4.81 states/eV/f.u. The energy relative to the elements, uncorrected comes out at 1.13 eV per atom.

The structure belongs to space group R-3m (No. 166, hexagonal axes); the cell edges are 3.1633, 3.1633 and 18.5176 Å and the angles 90.00°, 90.00° and 120.00°. The asymmetric unit holds V at (0.0000, 0.0000, 0.0000), Ag at (0.0000, 0.0000, 0.5000) and N at (0.0000, 0.0000, 0.0973).

---

Number 1: total magnetization 0.00 μB/f.u.. Number 2: total magnetization 0.00 μB/f.u.. Number 3: total magnetization 1.01 μB/f.u.. Number 4: total magnetization 0.79 μB/f.u.. Number 5: total magnetization 0.00 μB/f.u.. Number 6: total magnetization 0.00 μB/f.u.. Number 7: total magnetization 0.00 μB/f.u.. Number 8: total magnetization 4.30 μB/f.u.. Number 9: total magnetization 2.09 μB/f.u.. Number 10: total magnetization 0.00 μB/f.u.. Number 11: total magnetization 0.00 μB/f.u.. Number 12: total magnetization 0.00 μB/f.u.. Number 13: total magnetization 4.37 μB/f.u.. Number 14: total magnetization 0.00 μB/f.u.. Number 15: total magnetization 2.73 μB/f.u.. Number 16: total magnetization 0.00 μB/f.u.. Number 17: total magnetization 0.00 μB/f.u.. Number 18: total magnetization 0.29 μB/f.u.. Number 19: total magnetization 0.00 μB/f.u.. Number 20: total magnetization 0.00 μB/f.u..